# 1
CdNi | meta-GGA SCAN | single point on PBEsol structure

## Properties
calculated volume = 33.0 Å³/f.u.
D(E_F) = 1.073 states/eV per cell
SG = Fm-3m (225)
ΔH_f (0 K) = 0.54 eV/atom

abc: 3.601 3.601 3.601
angles: 60.00 60.00 60.00
Fractional positions:
Cd 0.000 0.000 0.000
Ni 0.500 0.500 0.500

=====

# 2
Al3Ag4 | meta-GGA SCAN | single point on PBEsol structure

## Properties
calculated volume = 112.8 Å³/f.u.
D(E_F) = 2.210 states/eV per cell
SG = I4/mmm (139)
polymorph energy (0 for the lowest one) = 33 meV per atom
ΔH_f (0 K) = -0.07 eV/atom

abc: 13.784 13.784 13.784
angles: 168.02 168.02 16.97
Fractional positions:
Al 0.000 0.000 0.000
Al 0.286 0.286 0.000
Al 0.714 0.714 0.000
Ag 0.144 0.144 0.000
Ag 0.433 0.433 0.000
Ag 0.567 0.567 0.000
Ag 0.856 0.856 0.000

=====

# 3
HgAsBr2 | meta-GGA SCAN | single point on PBEsol structure

## Properties
calculated volume = 97.4 Å³/f.u.
D(E_F) = 2.496 states/eV per cell
formation energy (no corrections) = 0.190 eV/atom
SG = R-3m (166)

abc: 9.473 9.473 9.473
angles: 21.20 21.20 21.20
Fractional positions:
Hg 0.000 0.000 0.000
As 0.500 0.500 0.500
Br 0.239 0.239 0.239
Br 0.761 0.761 0.761

=====

no.,total energy (eV per atom)
1,-22.76
2,-21.31
3,-31.63